[1]
Computed, not measured: an optimized crystal structure of YHoRh at the PBE level of DFT.

Summary:
Energy of formation: -0.59 eV/atom
Raw total energy: -6.72 eV per atom

a b c (Å): 4.795 4.809 6.795
angles (deg): 90.00 90.25 90.00
Space group P2/m (No. 10)
Asymmetric unit:
Y: 0.004 0.000 0.250 x2
Ho: 0.496 0.500 0.750 x2
Rh: 0.000 0.500 0.500 x1
Rh: 0.500 0.000 0.000 x1

=====

[2]
Computed, not measured: an optimized crystal structure of Ba4Hg3Pt at the PBE level of DFT.

Summary:
Energy of formation: -0.55 eV/atom
Raw total energy: -2.38 eV per atom

a b c (Å): 4.081 4.081 16.719
angles (deg): 90.00 90.00 90.00
Space group P4/mmm (No. 123)
Asymmetric unit:
Ba: 0.000 0.000 0.108 x2
Ba: 0.000 0.000 0.371 x2
Hg: 0.500 0.500 0.243 x2
Hg: 0.500 0.500 0.500 x1
Pt: 0.500 0.500 0.000 x1

=====

[3]
Computed, not measured: an optimized crystal structure of Ac2ZnSeO6 at the PBE level of DFT.

Summary:
ΔE_f (raw): -2.093 eV per atom
Raw total energy: -6.36 eV per atom

a b c (Å): 5.743 5.743 4.198
angles (deg): 90.00 90.00 90.00
Space group P4mm (No. 99)
Asymmetric unit:
Ac: 0.000 0.500 0.000 x2
Zn: 0.000 0.000 0.464 x1
Se: 0.500 0.500 0.444 x1
O: 0.000 0.000 0.946 x1
O: 0.256 0.256 0.418 x4
O: 0.500 0.500 0.013 x1